# 1
{"formula": "AlCrAu2", "functional": "PBE", "state": "relaxed", "lattice_angstrom": [[-2.002, 2.002, 4.119], [2.002, -2.002, 4.119], [2.002, 2.002, -4.119]], "species": ["Al", "Cr", "Au", "Au"], "fractional_positions": [[0.000, 0.000, 0.000], [0.750, 0.250, 0.500], [0.250, 0.750, 0.500], [0.500, 0.500, 0.000]], "spacegroup": "No. 119", "energy_ev_per_atom": -5.0825, "m_tot_mub_per_fu": 3.99, "density_g_cm3": 11.9}

***

# 2
{"formula": "Al2CrAu", "functional": "PBE", "state": "relaxed", "lattice_angstrom": [[2.843, -4.258, 0.000], [2.843, 4.258, 0.000], [-1.207, 0.000, 2.497]], "species": ["Al", "Al", "Cr", "Au"], "fractional_positions": [[0.000, 0.500, 0.000], [0.500, 0.000, 0.000], [0.000, 0.000, 0.500], [0.500, 0.500, 0.500]], "spacegroup": "No. 12", "energy_ev_per_atom": -5.0863, "m_tot_mub_per_fu": 0.00, "density_g_cm3": 8.3}